Record 1
Computed, not measured: crystalline Y8InOs2 at its relaxed geometry at the PBE-GGA level of DFT.

## Properties
Density of states at the Fermi level: 9.71 states/eV/f.u.
Energy relative to the elements: -197 meV per atom
Calculated density: 6.8 g/cm3
Energy: -79.08 eV for the cell shown

Cell and atoms, written as extended XYZ:
```
11
Lattice="5.039 0.058 -1.506 -0.896 6.344 -2.744 -0.012 0.131 9.145" Properties=species:S:1:pos:R:3 pbc="T T T"
Y 0.191 3.605 6.609
Y 0.978 5.483 0.158
Y 1.222 2.299 0.840
Y 2.926 5.952 -2.495
Y 2.013 4.618 3.573
Y 2.949 1.906 6.594
Y 4.848 0.230 3.710
Y 4.270 2.868 1.878
Os 2.088 1.873 3.722
Os 3.503 4.016 -0.630
In -0.201 6.349 5.415
```



Record 2
Computed, not measured: crystalline YInOs at its relaxed geometry at the PBE-GGA level of DFT.

## Properties
Density of states at the Fermi level: 1.66 states/eV/f.u.
Energy relative to the elements: -187 meV per atom
Calculated density: 9.2 g/cm3
Energy: -41.99 eV for the cell shown

Cell and atoms, written as extended XYZ:
```
6
Lattice="4.329 0.000 0.000 0.000 5.225 -0.132 -2.165 -1.295 6.304" Properties=species:S:1:pos:R:3 pbc="T T T"
Os 0.000 4.138 2.657
Os 2.165 -0.208 3.516
Y 0.000 1.399 1.548
Y 2.165 2.531 4.625
In 0.000 -0.001 5.393
In 2.165 3.931 0.780
```



Record 3
Computed, not measured: crystalline Y2InOs at its relaxed geometry at the PBE-GGA level of DFT.

## Properties
Density of states at the Fermi level: 1.53 states/eV/f.u.
Energy relative to the elements: -60 meV per atom
Calculated density: 8.0 g/cm3
Energy: -27.14 eV for the cell shown

Cell and atoms, written as extended XYZ:
```
4
Lattice="-8.355 2.614 3.736 -7.355 0.148 6.040 -6.175 3.447 6.370" Properties=species:S:1:pos:R:3 pbc="T T T"
Y -10.676 3.029 7.876
Y -0.267 0.076 0.197
In -5.471 1.552 4.036
Os -16.414 4.657 12.109
```